(1)
! Pu2Si3AgPt12, optimized geometry, DFT PBE; values from VASP
! total energy	-7.004	eV per atom
! space group	R-3m (166)
&SYSTEM
  ibrav = 0, nat = 18, ntyp = 4
/
ATOMIC_SPECIES
Pu 244.00 Pu.upf
Si 28.09 Si.upf
Ag 107.87 Ag.upf
Pt 195.08 Pt.upf
CELL_PARAMETERS angstrom
4.1600 2.4018 5.7846
-4.1600 2.4018 5.7846
0.0000 -4.8036 5.7846
ATOMIC_POSITIONS angstrom
Pu 0.0000 0.0000 1.8716
Pu 0.0000 0.0000 15.4822
Si -2.0800 -1.2009 5.7846
Si -2.0800 1.2009 11.5692
Si 0.0000 2.4018 5.7846
Ag 0.0000 0.0000 8.6769
Pt -2.2168 -1.2798 8.1110
Pt 0.0000 -2.2169 5.1507
Pt -1.9199 1.1084 5.1507
Pt 0.0000 -2.5597 9.2428
Pt -2.2168 1.2798 9.2428
Pt -1.9199 -1.1085 12.2032
Pt 1.9199 1.1084 5.1507
Pt 2.2168 -1.2799 8.1110
Pt 0.0000 2.5597 8.1110
Pt 1.9199 -1.1084 12.2032
Pt 0.0000 2.2169 12.2032
Pt 2.2168 1.2799 9.2428

***

(2)
! BaZrSb3, optimized geometry, DFT PBE; values from VASP
! total energy	-5.036	eV per atom
! space group	Pm-3m (221)
&SYSTEM
  ibrav = 0, nat = 5, ntyp = 3
/
ATOMIC_SPECIES
Ba 137.33 Ba.upf
Zr 91.22 Zr.upf
Sb 121.76 Sb.upf
CELL_PARAMETERS angstrom
5.6173 0.0000 0.0000
0.0000 5.6173 0.0000
0.0000 0.0000 5.6173
ATOMIC_POSITIONS angstrom
Ba 0.0000 0.0000 0.0000
Zr 2.8086 2.8086 2.8086
Sb 0.0000 2.8086 2.8086
Sb 2.8086 0.0000 2.8086
Sb 2.8086 2.8086 0.0000

***

(3)
! Dy3Se3N, optimized geometry, DFT PBE; values from VASP
! total energy	-6.502	eV per atom
! space group	Pnma (62)
&SYSTEM
  ibrav = 0, nat = 28, ntyp = 3
/
ATOMIC_SPECIES
Dy 162.50 Dy.upf
Se 78.96 Se.upf
N 14.01 N.upf
CELL_PARAMETERS angstrom
12.5880 0.0000 0.0000
0.0000 3.9505 0.0000
0.0000 0.0000 13.2216
ATOMIC_POSITIONS angstrom
Dy 0.5571 0.9876 1.9772
Dy 0.7498 0.9876 8.3844
Dy 2.5252 0.9876 11.3230
Dy 3.7688 2.9628 4.7123
Dy 5.5442 2.9628 1.7736
Dy 5.7369 2.9628 8.5880
Dy 6.8511 0.9876 4.6336
Dy 7.0438 0.9876 11.4480
Dy 8.8192 0.9876 8.5093
Dy 10.0627 2.9628 1.8985
Dy 11.8382 2.9628 4.8372
Dy 12.0309 2.9628 11.2444
Se 1.2437 0.9876 5.2631
Se 1.6284 2.9628 13.1325
Se 2.7998 2.9628 9.0787
Se 3.4942 0.9876 2.4680
Se 4.6656 0.9876 6.5217
Se 5.0503 2.9628 11.8739
Se 7.5376 0.9876 1.3476
Se 7.9224 2.9628 6.6998
Se 9.0937 2.9628 10.7536
Se 9.7882 0.9876 4.1428
Se 10.9596 0.9876 0.0890
Se 11.3443 2.9628 7.9584
N 0.4260 0.9876 10.5381
N 5.8680 2.9628 3.9273
N 6.7200 0.9876 9.2942
N 12.1619 2.9628 2.6835

***

(4)
! La3InO, optimized geometry, DFT PBE; values from VASP
! total energy	-5.562	eV per atom
! space group	R-3c (167)
&SYSTEM
  ibrav = 0, nat = 10, ntyp = 3
/
ATOMIC_SPECIES
La 138.91 La.upf
In 114.82 In.upf
O 16.00 O.upf
CELL_PARAMETERS angstrom
4.7215 2.7259 3.9320
-4.7215 2.7259 3.9320
0.0000 -5.4519 3.9320
ATOMIC_POSITIONS angstrom
La -1.1302 -1.9575 2.9490
La -1.1302 1.9575 2.9490
La 2.2604 0.0000 2.9490
La -2.2604 0.0000 8.8471
La 1.1302 -1.9575 8.8471
La 1.1302 1.9575 8.8471
In 0.0000 0.0000 0.0000
In 0.0000 0.0000 5.8980
O 0.0000 0.0000 2.9490
O 0.0000 0.0000 8.8471

***

(5)
! KRhSe2, optimized geometry, DFT PBE; values from VASP
! total energy	-4.467	eV per atom
! space group	Pnma (62)
&SYSTEM
  ibrav = 0, nat = 16, ntyp = 3
/
ATOMIC_SPECIES
K 39.10 K.upf
Rh 102.91 Rh.upf
Se 78.96 Se.upf
CELL_PARAMETERS angstrom
7.5672 0.0000 0.0000
0.0000 4.7200 0.0000
0.0000 0.0000 11.2734
ATOMIC_POSITIONS angstrom
K 1.2711 1.1800 1.4984
K 2.5125 3.5400 7.1351
K 5.0547 1.1800 4.1383
K 6.2961 3.5400 9.7750
Rh 0.5214 3.5400 4.2287
Rh 3.2622 1.1800 9.8654
Rh 4.3050 3.5400 1.4080
Rh 7.0457 1.1800 7.0447
Se 0.9276 1.1800 5.0395
Se 0.9302 1.1800 9.0337
Se 2.8534 3.5400 3.3970
Se 2.8560 3.5400 10.6762
Se 4.7112 1.1800 0.5972
Se 4.7138 1.1800 7.8764
Se 6.6370 3.5400 2.2397
Se 6.6396 3.5400 6.2339

***

(6)
! CaAcZnCu, optimized geometry, DFT PBE; values from VASP
! space group	Amm2 (38)
! formation energy	-183.3	meV/atom
&SYSTEM
  ibrav = 0, nat = 4, ntyp = 4
/
ATOMIC_SPECIES
Ca 40.08 Ca.upf
Ac 227.00 Ac.upf
Zn 65.41 Zn.upf
Cu 63.55 Cu.upf
CELL_PARAMETERS angstrom
4.3715 0.0000 0.0000
0.0000 2.0976 6.0366
0.0000 -2.0976 6.0366
ATOMIC_POSITIONS angstrom
Ca 0.0000 0.0000 0.0000
Ac 2.1857 0.0000 8.6597
Zn 2.1857 0.0000 5.1859
Cu 0.0000 0.0000 3.7025